1.
A relaxed K2HfUSe4 crystal. Source: the Alexandria database, functional PBE-GGA.

Cell: 4.028 7.001 8.131 Å, 106.42 90.00 90.00°
Last column: magnetic moment on the atom in μB.
Fractional coordinates of all 8 atoms:
1 Se 0.500 0.747 0.791  -0.04
2 Se 0.000 0.281 0.799  -0.02
3 Se 0.500 0.253 0.209  -0.04
4 Se 0.000 0.719 0.201  -0.02
5 K 0.500 0.000 0.500  0.00
6 K 0.000 0.500 0.500  0.00
7 U 0.000 0.000 0.000  2.67
8 Hf 0.500 0.500 0.000  0.28

## Properties
For the uncorrected formation energy, the calculation gives -1.24 eV/atom. The space group is P2/m (10). For the volume, the calculation gives 27.5 Å³/atom. Its total energy is -0.435 Ry/atom.

2.
A relaxed ZnInW2 crystal. Source: the Alexandria database, functional PBE-GGA.

Cell: 2.769 4.403 5.574 Å, 90.00 90.00 90.00°
Fractional coordinates of all 4 atoms:
1 W 0.000 0.000 0.482
2 W 0.000 0.000 0.018
3 Zn 0.500 0.500 0.250
4 In 0.500 0.500 0.750

## Properties
The polymorph energy (0 for the lowest one) comes out at 0.92 eV/f.u. The space group is Pmmm (47). For the volume, the calculation gives 17.0 Å³/atom. Its total energy is -0.508 Ry/atom. The formation energy from the elements is 0.571 eV per atom.

3.
A relaxed Cs2KMnCl6 crystal. Source: the Alexandria database, functional PBE-GGA.

Cell: 7.638 7.463 7.463 Å, 120.00 90.00 90.00°
Last column: magnetic moment on the atom in μB.
Fractional coordinates of all 10 atoms:
1 Cs 0.160 0.333 0.667  0.00
2 Cs 0.840 0.667 0.333  0.00
3 Cl 0.815 0.152 0.848  0.00
4 Cl 0.815 0.695 0.848  0.00
5 Cl 0.185 0.848 0.695  0.00
6 Cl 0.185 0.305 0.152  0.00
7 Cl 0.185 0.848 0.152  0.00
8 Cl 0.815 0.152 0.305  0.00
9 Mn 0.000 0.000 0.000  3.72
10 K 0.500 0.000 0.000  0.00

## Properties
For the uncorrected formation energy, the calculation gives -1.60 eV/atom. The space group is P-3m1 (164). For the volume, the calculation gives 36.8 Å³/atom. Its total energy is -0.287 Ry/atom.